The following is a DFT calculation (PBEsol) of a relaxed structure of AlPt2Se.

Its total magnetization is 0.00 μB per cell. For the total DFT energy (no corrections), the calculation gives -5.506 eV per atom. The value obtained for the formation energy without anion corrections is -0.038 eV per atom.

The structure belongs to space group F-43m (No. 216); the cell edges are 6.339, 6.339 and 6.339 Å and the angles 90.00°, 90.00° and 90.00°. The asymmetric unit holds Al at (0.000, 0.000, 0.000), Pt at (0.000, 0.000, 0.500), Pt at (0.250, 0.250, 0.750) and Se at (0.250, 0.250, 0.250).